LaCo5 | PBE | optimized geometry

Values from the calculation:
Density   8.3 Mg/m³
Calculated volume   174.3 Å³/cell

Unit cell a=6.390 b=6.390 c=6.390 alpha=103.80 beta=94.58 gamma=132.98
Sites, in units of the cell vectors:
La: 0.476 0.226 0.250
La: 0.524 0.774 0.750
Co: 0.000 0.000 0.500
Co: 0.000 0.240 0.240
Co: 0.000 0.500 0.000
Co: 0.000 0.760 0.760
Co: 0.116 0.706 0.410
Co: 0.204 0.294 0.910
Co: 0.500 0.240 0.740
Co: 0.500 0.760 0.260
Co: 0.796 0.706 0.090
Co: 0.884 0.294 0.590

=====

La3Co | PBE | optimized geometry

Values from the calculation:
Density   6.3 Mg/m³
Calculated volume   125.9 Å³/cell

Unit cell a=3.875 b=3.875 c=9.684 alpha=90.00 beta=90.00 gamma=120.00
Sites, in units of the cell vectors:
La: 0.000 0.000 0.000
La: 0.333 0.667 0.324
La: 0.333 0.667 0.676
Co: 0.000 0.000 0.500

=====

Computed ΔE_f, in the same sequence as the records: -0.55, 1.72 kcal/mol of atoms.